# SmFe3B4O12 PBE with a Hubbard U optimized geometry
data_SmFe3B4O12
_chemical_formula_sum 'Sm1 Fe3 B4 O12'
_cell_length_a 6.142
_cell_length_b 6.142
_cell_length_c 6.142
_cell_angle_alpha 103.80
_cell_angle_beta 103.80
_cell_angle_gamma 103.80
_symmetry_space_group_name_H-M 'P 1'
_symmetry_Int_Tables_number 1
loop_
_symmetry_equiv_pos_as_xyz
'x,y,z'
loop_
_atom_site_label
_atom_site_type_symbol
_atom_site_fract_x
_atom_site_fract_y
_atom_site_fract_z
Sm1 Sm 0.000 0.000 0.000
Fe1 Fe 0.000 0.550 0.450
Fe2 Fe 0.450 0.000 0.550
Fe3 Fe 0.550 0.450 0.000
B1 B 0.053 0.500 0.947
B2 B 0.500 0.500 0.500
B3 B 0.500 0.947 0.053
B4 B 0.947 0.053 0.500
O1 O 0.029 0.629 0.792
O2 O 0.091 0.909 0.500
O3 O 0.208 0.371 0.971
O4 O 0.357 0.643 0.500
O5 O 0.371 0.971 0.208
O6 O 0.500 0.091 0.909
O7 O 0.500 0.357 0.643
O8 O 0.629 0.792 0.029
O9 O 0.643 0.500 0.357
O10 O 0.792 0.029 0.629
O11 O 0.909 0.500 0.091
O12 O 0.971 0.208 0.371
# Offset from the most stable computed form, eV per formula unit: 0.00